Li7TlPd3 | PBE-GGA | relaxed

Unit cell a=4.777 b=6.664 c=6.664 alpha=86.50 beta=111.34 gamma=111.34
Atoms (fractional coordinates):
1 Li 0.168 0.165 0.165
2 Li 0.321 0.035 0.607
3 Li 0.679 0.393 0.965
4 Li 0.321 0.607 0.035
5 Li 0.000 0.500 0.500
6 Li 0.679 0.965 0.393
7 Li 0.832 0.835 0.835
8 Tl 0.500 0.500 0.500
9 Pd 0.000 0.771 0.229
10 Pd 0.500 0.000 0.000
11 Pd 0.000 0.229 0.771

Values from the calculation:
Space group = C2/m, No. 12
Formation enthalpy at 0 K = -20.8 kJ per mole of atoms
Distance to the lowest polymorph of the same formula = 72 kJ/mol of formula units
Spin magnetization = 0.00 Bohr magnetons per cell
Density = 5.18 Mg/m³
E = -3.07 eV/atom